Record 1
The following is a GGA-PBE calculation of an optimized crystal structure of KBe2GaSb, from Alexandria via LeMat-Bulk.

Output
energy relative to the elements, uncorrected = 1789 meV per atom

a b c (Å): 5.150 5.477 5.150
angles (deg): 90.00 90.00 90.00
Fractional positions:
Sb  0.500  0.500  0.500
Ga  0.000  0.500  0.000
Be  0.500  0.000  0.000
Be  0.000  0.000  0.500
K  0.000  0.000  0.000

---

Record 2
The following is a GGA-PBE calculation of an optimized crystal structure of Ca2MgBiPt, from Alexandria via LeMat-Bulk.

Output
formation energy = 19 kJ/mol of atoms

a b c (Å): 5.871 5.256 5.871
angles (deg): 90.00 90.00 90.00
Fractional positions:
Pt  0.500  0.500  0.500
Mg  0.000  0.500  0.000
Ca  0.500  0.000  0.000
Ca  0.000  0.000  0.500
Bi  0.000  0.000  0.000

---

Record 3
The following is a GGA-PBE calculation of an optimized crystal structure of SmTcGe2, from Alexandria via LeMat-Bulk.

Output
formation energy = -51 kJ/mol of atoms
polymorph energy (0 for the lowest one) = 0 meV/atom

a b c (Å): 4.221 7.301 10.333
angles (deg): 90.00 90.00 90.00
Fractional positions:
Sm  0.250  0.658  0.631
Sm  0.750  0.842  0.131
Sm  0.750  0.342  0.369
Sm  0.250  0.158  0.869
Tc  0.750  0.022  0.606
Tc  0.750  0.522  0.894
Tc  0.250  0.978  0.394
Tc  0.250  0.478  0.106
Ge  0.750  0.293  0.068
Ge  0.750  0.793  0.432
Ge  0.250  0.640  0.312
Ge  0.750  0.360  0.688
Ge  0.750  0.860  0.812
Ge  0.250  0.207  0.568
Ge  0.250  0.707  0.932
Ge  0.250  0.140  0.188

---

Record 4
The following is a GGA-PBE calculation of an optimized crystal structure of Sr2HgP, from Alexandria via LeMat-Bulk.

Output
formation energy = -44 kJ/mol of atoms
polymorph energy (0 for the lowest one) = 361 meV/atom

a b c (Å): 8.893 8.893 8.893
angles (deg): 29.19 29.19 29.19
Fractional positions:
P  0.235  0.235  0.235
Hg  0.521  0.521  0.521
Sr  0.960  0.960  0.960
Sr  0.785  0.785  0.785

---

Record 5
The following is a GGA-PBE calculation of an optimized crystal structure of Sr4PmIn5, from Alexandria via LeMat-Bulk.

Output
formation energy = -42 kJ/mol of atoms

a b c (Å): 4.024 4.024 20.147
angles (deg): 90.00 90.00 90.00
Fractional positions:
In  0.500  0.500  0.911
In  0.500  0.500  0.500
In  0.500  0.500  0.297
In  0.500  0.500  0.089
In  0.500  0.500  0.703
Pm  0.000  0.000  0.000
Sr  0.000  0.000  0.602
Sr  0.000  0.000  0.398
Sr  0.000  0.000  0.805
Sr  0.000  0.000  0.195

---

Record 6
The following is a GGA-PBE calculation of an optimized crystal structure of Sm2TmPuSe5, from Alexandria via LeMat-Bulk.

Output
energy relative to the elements, uncorrected = -1189 meV per atom

a b c (Å): 5.029 5.029 10.842
angles (deg): 90.00 90.00 90.00
Site moments in Bohr magnetons follow the coordinates.
Fractional positions:
Pu  0.000  0.000  0.000  5.58
Tm  0.000  0.000  0.500  0.03
Se  0.500  0.500  0.000  -0.05
Se  0.000  0.500  0.500  -0.01
Se  0.500  0.000  0.500  -0.01
Se  0.000  0.000  0.250  -0.04
Se  0.000  0.000  0.750  -0.04
Sm  0.500  0.500  0.712  0.18
Sm  0.500  0.500  0.288  0.18

---

Record 7
The following is a GGA-PBE calculation of an optimized crystal structure of ThMg6Sc, from Alexandria via LeMat-Bulk.

Output
formation energy = 2 kJ/mol of atoms

a b c (Å): 4.730 4.730 8.900
angles (deg): 90.00 90.00 90.00
Fractional positions:
Mg  0.500  0.500  0.500
Mg  0.500  0.000  0.737
Mg  0.000  0.500  0.263
Mg  0.500  0.500  0.000
Mg  0.000  0.500  0.737
Mg  0.500  0.000  0.263
Sc  0.000  0.000  0.500
Th  0.000  0.000  0.000

---

Record 8
The following is a GGA-PBE calculation of an optimized crystal structure of Ac2Hg5Au3, from Alexandria via LeMat-Bulk.

Output
formation energy = -43 kJ/mol of atoms
polymorph energy (0 for the lowest one) = 0 meV/atom

a b c (Å): 4.667 8.056 14.086
angles (deg): 90.00 99.53 90.00
Fractional positions:
Au  0.043  0.994  0.086
Au  0.612  0.535  0.224
Au  0.388  0.035  0.776
Au  0.767  0.687  0.534
Au  0.233  0.187  0.466
Au  0.957  0.494  0.914
Ac  0.180  0.694  0.359
Ac  0.523  0.287  0.046
Ac  0.820  0.194  0.641
Ac  0.477  0.787  0.954
Hg  0.705  0.383  0.410
Hg  0.055  0.620  0.109
Hg  0.123  0.251  0.246
Hg  0.704  0.994  0.408
Hg  0.877  0.751  0.754
Hg  0.295  0.883  0.590
Hg  0.296  0.494  0.592
Hg  0.601  0.918  0.203
Hg  0.945  0.120  0.891
Hg  0.399  0.418  0.797

---

Record 9
The following is a GGA-PBE calculation of an optimized crystal structure of PaTcP, from Alexandria via LeMat-Bulk.

Output
formation energy = -87 kJ/mol of atoms
polymorph energy (0 for the lowest one) = 0 meV/atom

a b c (Å): 3.690 5.417 5.676
angles (deg): 90.00 90.00 109.92
Fractional positions:
Pa  0.183  0.367  0.750
Pa  0.817  0.633  0.250
P  0.104  0.208  0.250
P  0.896  0.792  0.750
Tc  0.500  0.000  0.500
Tc  0.500  0.000  0.000

---

Record 10
The following is a GGA-PBE calculation of an optimized crystal structure of LiNd2Ge3Ir4, from Alexandria via LeMat-Bulk.

Output
formation energy = -69 kJ/mol of atoms

a b c (Å): 4.174 4.174 10.541
angles (deg): 90.00 90.00 90.00
Fractional positions:
Ir  0.000  0.000  0.000
Ir  0.000  0.500  0.364
Ir  0.500  0.500  0.000
Ir  0.500  0.000  0.636
Ge  0.500  0.000  0.871
Ge  0.000  0.000  0.500
Ge  0.000  0.500  0.129
Nd  0.500  0.000  0.253
Nd  0.000  0.500  0.747
Li  0.500  0.500  0.500

---

Record 11
The following is a GGA-PBE calculation of an optimized crystal structure of KScBi2Te, from Alexandria via LeMat-Bulk.

Output
energy relative to the elements, uncorrected = 1080 meV per atom

a b c (Å): 5.911 5.911 5.249
angles (deg): 90.00 90.00 90.00
Site moments in Bohr magnetons follow the coordinates.
Fractional positions:
Bi  0.000  0.500  0.000  -0.08
Bi  0.500  0.000  0.000  -0.08
Te  0.500  0.500  0.500  0.00
K  0.000  0.000  0.000  0.03
Sc  0.000  0.000  0.500  0.51

---

Record 12
The following is a GGA-PBE calculation of an optimized crystal structure of Pm3CoGe3, from Alexandria via LeMat-Bulk.

Output
formation energy = -72 kJ/mol of atoms

a b c (Å): 4.306 5.908 13.359
angles (deg): 84.82 80.72 68.62
Fractional positions:
Pm  0.254  0.263  0.230
Pm  0.403  0.275  0.918
Pm  0.597  0.725  0.082
Pm  0.474  0.669  0.383
Pm  0.746  0.737  0.770
Pm  0.526  0.331  0.617
Ge  0.947  0.860  0.246
Ge  0.053  0.140  0.754
Ge  0.148  0.251  0.453
Ge  0.123  0.829  0.924
Ge  0.877  0.171  0.076
Ge  0.852  0.749  0.547
Co  0.244  0.932  0.581
Co  0.756  0.068  0.419

---

Number 1: Fermi-level density of states 3.3 states/eV per cell. Number 2: Fermi-level density of states 3.4 states/eV per cell. Number 3: Fermi-level density of states 9.6 states/eV per cell. Number 4: Fermi-level density of states 2.9 states/eV per cell. Number 5: Fermi-level density of states 6.8 states/eV per cell. Number 6: Fermi-level density of states 16.5 states/eV per cell. Number 7: Fermi-level density of states 7.5 states/eV per cell. Number 8: Fermi-level density of states 10.6 states/eV per cell. Number 9: Fermi-level density of states 5.0 states/eV per cell. Number 10: Fermi-level density of states 4.7 states/eV per cell. Number 11: Fermi-level density of states 4.6 states/eV per cell. Number 12: Fermi-level density of states 10.2 states/eV per cell.